Entry 1:
VASP calculation (GGA-PBE) on a geometry-optimized Nd5Er4Pu structure.

Cell: 8.6913 8.6913 11.4670 Å, 108.62 108.62 23.51°
With the nearest neighbours (Å) after each atom.
Fractional coordinates of all 10 atoms:
Nd (0.0000, 0.0000, 0.0000)  6 Er 3.31-3.63, 2 Nd 3.54
Nd (0.2892, 0.2892, 0.8850)  8 Nd 3.54-3.83, 5 Er 3.66-3.79
Nd (0.3144, 0.3144, 0.4230)  4 Er 3.39-3.51, 2 Pu 3.48, 4 Nd 3.54-3.68
Nd (0.6856, 0.6856, 0.5770)  4 Er 3.39-3.51, 2 Pu 3.48, 4 Nd 3.54-3.68
Nd (0.7108, 0.7108, 0.1150)  8 Nd 3.54-3.83, 5 Er 3.66-3.79
Er (0.1044, 0.1044, 0.2996)  6 Nd 3.31-3.66, 1 Pu 3.33, 4 Er 3.47-3.54
Er (0.4191, 0.4191, 0.2127)  6 Nd 3.43-3.79, 4 Er 3.47-3.54, 2 Pu 3.60
Er (0.5809, 0.5809, 0.7873)  6 Nd 3.43-3.79, 4 Er 3.47-3.54, 2 Pu 3.60
Er (0.8956, 0.8956, 0.7004)  6 Nd 3.31-3.66, 1 Pu 3.33, 4 Er 3.47-3.54
Pu (0.0000, 0.0000, 0.5000)  6 Er 3.33-3.60, 4 Nd 3.48, 2 Pu 3.54

Computed properties:
energy relative to the elements = 0.06 eV/atom

***

Entry 2:
VASP calculation (GGA-PBE) on a geometry-optimized SnBiSb structure.

Cell: 4.3997 4.3997 5.6305 Å, 90.00 90.00 120.00°
With the nearest neighbours (Å) after each atom.
Fractional coordinates of all 3 atoms:
Sn (0.0000, 0.0000, 0.0000)  3 Sb 3.08, 3 Bi 3.21
Bi (0.6667, 0.3333, 0.3476)  3 Sb 3.19, 3 Sn 3.21
Sb (0.3333, 0.6667, 0.6909)  3 Sn 3.08, 3 Bi 3.19

Computed properties:
distance to the lowest polymorph of the same formula = 0 kJ/mol of formula units
formation energy (no corrections) = 0.0473 eV/atom